No. 1
VASP calculation (PBE) on an optimized crystal structure of Ti2Ge2Te.

## Properties
distance to the lowest polymorph of the same formula	306.7	meV/atom
total magnetization	0.6	μB per formula unit
uncorrected formation energy	-128	meV per atom

Cell: 7.315 7.315 3.455 Å, 90.00 90.00 90.00°
Space group P4/mbm (No. 127)
One atom of each set of equivalent atoms:
1 Ti 0.179 0.321 0.000 [4 per cell]
2 Ge 0.121 0.621 0.500 [4 per cell]
3 Te 0.000 0.000 0.500 [2 per cell]

---

No. 2
VASP calculation (PBE) on an optimized crystal structure of Ti2Ge2Te.

## Properties
distance to the lowest polymorph of the same formula	97.2	meV/atom
total magnetization	0.0	μB per formula unit
uncorrected formation energy	-337	meV per atom

Cell: 7.266 7.266 3.565 Å, 90.00 90.00 90.00°
Space group P4/mbm (No. 127)
One atom of each set of equivalent atoms:
1 Ti 0.163 0.337 0.000 [4 per cell]
2 Ge 0.128 0.628 0.500 [4 per cell]
3 Te 0.000 0.000 0.000 [2 per cell]